(1)
A plane-wave DFT calculation with PBE was carried out for crystalline NaSnTe3As at its relaxed geometry.

total magnetic moment	0.00	μB/f.u.
volume	386	Å³ per cell
raw total energy	-3.515	eV per atom

abc: 9.102 4.273 10.117
angles: 90.00 101.05 90.00
Positions (direct):
Na  0.142  0.250  0.171
Na  0.858  0.750  0.829
Sn  0.135  0.250  0.540
Sn  0.865  0.750  0.460
Te  0.137  0.250  0.833
Te  0.357  0.750  0.554
Te  0.412  0.750  0.136
Te  0.588  0.250  0.864
Te  0.643  0.250  0.446
Te  0.863  0.750  0.167
As  0.372  0.750  0.849
As  0.628  0.250  0.151


(2)
A plane-wave DFT calculation with PBE was carried out for crystalline Ba3MoN3 at its relaxed geometry.

total magnetic moment	0.00	μB/f.u.
volume	353	Å³ per cell
raw total energy	-6.641	eV per atom

abc: 8.512 8.512 5.624
angles: 90.00 90.00 120.00
Positions (direct):
Ba  0.088  0.358  0.250
Ba  0.270  0.912  0.250
Ba  0.358  0.270  0.750
Ba  0.642  0.730  0.250
Ba  0.730  0.088  0.750
Ba  0.912  0.642  0.750
Mo  0.333  0.667  0.750
Mo  0.667  0.333  0.250
N  0.126  0.439  0.750
N  0.313  0.874  0.750
N  0.439  0.313  0.250
N  0.561  0.687  0.750
N  0.687  0.126  0.250
N  0.874  0.561  0.250


(3)
A plane-wave DFT calculation with PBE was carried out for crystalline Pr6SnSb5 at its relaxed geometry.

total magnetic moment	0.00	μB/f.u.
volume	401	Å³ per cell
raw total energy	-5.524	eV per atom

abc: 7.901 7.901 7.877
angles: 99.63 99.63 120.01
Positions (direct):
Pr  0.081  0.417  0.750
Pr  0.248  0.248  0.251
Pr  0.417  0.081  0.750
Pr  0.583  0.919  0.250
Pr  0.752  0.752  0.749
Pr  0.919  0.583  0.250
Sn  0.500  0.500  0.000
Sb  0.000  0.000  0.500
Sb  0.166  0.834  0.000
Sb  0.333  0.667  0.500
Sb  0.667  0.333  0.500
Sb  0.834  0.166  0.000